1.
Here is Cd2HgIr after structural relaxation from Alexandria. Energies are from GGA-PBE.

a b c (Å): 3.192 4.984 5.910
angles (deg): 54.11 90.00 90.00
Element x y z (fractional)
Cd (0.000, 0.000, 0.000)
Hg (0.500, 0.500, 0.500)
Ir (0.000, 0.000, 0.500)
Cd (0.500, 0.500, 0.000)

Properties
energy relative to the lowest polymorph listed for this composition = 0.117 eV/atom
calculated formation energy = 0.25 eV/atom
Fermi-level density of states = 0.38 states/eV per atom



2.
Here is CdHgIr2 after structural relaxation from Alexandria. Energies are from GGA-PBE.

a b c (Å): 6.109 6.109 6.109
angles (deg): 153.06 133.84 54.26
Element x y z (fractional)
Ir (0.223, 0.723, 0.500)
Ir (0.027, 0.027, 0.000)
Cd (0.472, 0.472, 0.000)
Hg (0.778, 0.278, 0.500)

Properties
calculated formation energy = 0.37 eV/atom
Fermi-level density of states = 0.90 states/eV per atom



3.
Here is CdHg4Ir after structural relaxation from Alexandria. Energies are from GGA-PBE.

a b c (Å): 5.693 5.693 5.693
angles (deg): 60.00 60.00 60.00
Element x y z (fractional)
Hg (0.375, 0.874, 0.375)
Hg (0.375, 0.375, 0.874)
Hg (0.375, 0.375, 0.375)
Hg (0.874, 0.375, 0.375)
Ir (0.750, 0.750, 0.750)
Cd (0.000, 0.000, 0.000)

Properties
calculated formation energy = 0.66 eV/atom
Fermi-level density of states = 0.46 states/eV per atom



4.
Here is Cd2HgIr after structural relaxation from Alexandria. Energies are from GGA-PBE.

a b c (Å): 5.028 5.028 3.188
angles (deg): 90.02 90.02 109.06
Element x y z (fractional)
Ir (0.000, 0.500, 0.500)
Cd (0.500, 0.500, 0.000)
Cd (0.000, 0.000, 0.000)
Hg (0.500, 0.000, 0.500)

Properties
energy relative to the lowest polymorph listed for this composition = 0.054 eV/atom
calculated formation energy = 0.18 eV/atom
Fermi-level density of states = 0.28 states/eV per atom



5.
Here is CdHgIr after structural relaxation from Alexandria. Energies are from GGA-PBE.

a b c (Å): 5.144 5.144 5.144
angles (deg): 145.46 133.41 59.27
Element x y z (fractional)
Ir (0.664, 0.664, 0.000)
Cd (0.008, 0.008, 0.000)
Hg (0.328, 0.328, 0.000)

Properties
energy relative to the lowest polymorph listed for this composition = 0.224 eV/atom
calculated formation energy = 0.34 eV/atom
Fermi-level density of states = 0.69 states/eV per atom



6.
Here is Cd2HgIr after structural relaxation from Alexandria. Energies are from GGA-PBE.

a b c (Å): 4.109 3.128 6.747
angles (deg): 62.19 90.00 90.00
Element x y z (fractional)
Ir (0.500, 0.750, 0.750)
Hg (0.500, 0.250, 0.250)
Cd (0.000, 0.021, 0.980)
Cd (0.000, 0.479, 0.520)

Properties
energy relative to the lowest polymorph listed for this composition = 0.060 eV/atom
calculated formation energy = 0.19 eV/atom
Fermi-level density of states = 0.31 states/eV per atom



7.
Here is CdHgIr2 after structural relaxation from Alexandria. Energies are from GGA-PBE.

a b c (Å): 3.549 2.804 7.968
angles (deg): 69.76 90.00 90.00
Element x y z (fractional)
Hg (0.500, 0.720, 0.776)
Ir (0.000, 0.956, 0.042)
Ir (0.500, 0.287, 0.214)
Cd (0.000, 0.536, 0.468)

Properties
calculated formation energy = 0.30 eV/atom
Fermi-level density of states = 1.01 states/eV per atom



8.
Here is CdHgIr2 after structural relaxation from Alexandria. Energies are from GGA-PBE.

a b c (Å): 7.621 7.621 6.002
angles (deg): 50.59 50.59 90.00
Element x y z (fractional)
Hg (0.750, 0.250, 0.500)
Ir (0.626, 0.125, 0.250)
Cd (0.250, 0.750, 0.500)
Ir (0.875, 0.876, 0.750)
Hg (0.000, 0.000, 0.000)
Ir (0.375, 0.374, 0.750)
Cd (0.500, 0.500, 0.000)
Ir (0.124, 0.625, 0.250)

Properties
calculated formation energy = 0.81 eV/atom
Fermi-level density of states = 0.84 states/eV per atom



9.
Here is Cd2HgIr after structural relaxation from Alexandria. Energies are from GGA-PBE.

a b c (Å): 10.177 10.177 10.177
angles (deg): 17.11 17.11 17.11
Each line ends with the local moment (μB).
Element x y z (fractional)
Cd (0.491, 0.491, 0.491)  0.00
Cd (0.009, 0.009, 0.009)  0.00
Ir (0.750, 0.750, 0.750)  0.22
Hg (0.250, 0.250, 0.250)  0.00

Properties
energy relative to the lowest polymorph listed for this composition = 0.091 eV/atom
calculated formation energy = 0.22 eV/atom
Fermi-level density of states = 0.67 states/eV per atom



10.
Here is Cd2HgIr after structural relaxation from Alexandria. Energies are from GGA-PBE.

a b c (Å): 4.105 4.105 10.300
angles (deg): 78.51 78.51 90.00
Element x y z (fractional)
Ir (0.500, 0.500, 0.000)
Hg (0.000, 0.000, 0.000)
Ir (0.250, 0.750, 0.500)
Cd (0.875, 0.856, 0.750)
Cd (0.144, 0.625, 0.250)
Cd (0.375, 0.394, 0.750)
Hg (0.750, 0.250, 0.500)
Cd (0.606, 0.125, 0.250)

Properties
energy relative to the lowest polymorph listed for this composition = 0.274 eV/atom
calculated formation energy = 0.40 eV/atom
Fermi-level density of states = 0.41 states/eV per atom



11.
Here is Cd2HgIr after structural relaxation from Alexandria. Energies are from GGA-PBE.

a b c (Å): 5.316 5.316 5.316
angles (deg): 134.43 134.25 66.56
Element x y z (fractional)
Hg (0.250, 0.750, 0.500)
Cd (0.500, 0.500, 0.000)
Ir (0.750, 0.250, 0.500)
Cd (0.000, 0.000, 0.000)

Properties
energy relative to the lowest polymorph listed for this composition = 0.065 eV/atom
calculated formation energy = 0.19 eV/atom
Fermi-level density of states = 0.38 states/eV per atom



12.
Here is CdHgIr after structural relaxation from Alexandria. Energies are from GGA-PBE.

a b c (Å): 9.006 2.928 10.198
angles (deg): 90.00 92.56 90.00
Element x y z (fractional)
Hg (0.542, 0.000, 0.955)
Hg (0.542, 0.500, 0.455)
Hg (0.002, 0.000, 0.786)
Cd (0.729, 0.000, 0.222)
Ir (0.462, 0.000, 0.685)
Ir (0.462, 0.500, 0.185)
Ir (0.271, 0.000, 0.309)
Cd (0.218, 0.000, 0.041)
Cd (0.218, 0.500, 0.541)
Ir (0.271, 0.500, 0.809)
Cd (0.729, 0.500, 0.722)
Hg (0.002, 0.500, 0.286)

Properties
energy relative to the lowest polymorph listed for this composition = 0.089 eV/atom
calculated formation energy = 0.21 eV/atom
Fermi-level density of states = 0.54 states/eV per atom



13.
Here is CdHgIr4 after structural relaxation from Alexandria. Energies are from GGA-PBE.

a b c (Å): 5.287 5.287 5.287
angles (deg): 60.00 60.00 60.00
Element x y z (fractional)
Hg (0.000, 0.000, 0.000)
Ir (0.375, 0.875, 0.375)
Ir (0.375, 0.375, 0.875)
Cd (0.750, 0.750, 0.750)
Ir (0.375, 0.375, 0.375)
Ir (0.875, 0.375, 0.375)

Properties
calculated formation energy = 0.42 eV/atom
Fermi-level density of states = 1.18 states/eV per atom



14.
Here is CdHgIr2 after structural relaxation from Alexandria. Energies are from GGA-PBE.

a b c (Å): 4.804 2.883 5.009
angles (deg): 88.98 90.00 90.00
Element x y z (fractional)
Ir (0.000, 0.513, 0.494)
Hg (0.500, 0.750, 0.750)
Ir (0.000, 0.987, 0.006)
Cd (0.500, 0.250, 0.250)

Properties
calculated formation energy = 0.43 eV/atom
Fermi-level density of states = 0.96 states/eV per atom



15.
Here is CdHg2Ir2 after structural relaxation from Alexandria. Energies are from GGA-PBE.

a b c (Å): 6.935 6.935 4.070
angles (deg): 90.00 90.00 90.00
Each line ends with the local moment (μB).
Element x y z (fractional)
Ir (0.129, 0.371, 0.000)  0.05
Ir (0.871, 0.629, 0.000)  0.05
Hg (0.171, 0.671, 0.500)  0.00
Cd (0.000, 0.000, 0.000)  0.00
Ir (0.629, 0.129, 0.000)  0.05
Hg (0.671, 0.829, 0.500)  0.00
Hg (0.829, 0.329, 0.500)  0.00
Ir (0.371, 0.871, 0.000)  0.05
Cd (0.500, 0.500, 0.000)  0.00
Hg (0.329, 0.171, 0.500)  0.00

Properties
calculated formation energy = 0.36 eV/atom
Fermi-level density of states = 1.50 states/eV per atom



16.
Here is CdHgIr2 after structural relaxation from Alexandria. Energies are from GGA-PBE.

a b c (Å): 4.948 4.948 4.948
angles (deg): 130.11 130.11 73.23
Element x y z (fractional)
Hg (0.750, 0.250, 0.500)
Cd (0.500, 0.500, 0.000)
Ir (0.250, 0.750, 0.500)
Ir (0.000, 0.000, 0.000)

Properties
calculated formation energy = 0.49 eV/atom
Fermi-level density of states = 1.25 states/eV per atom



17.
Here is CdHgIr after structural relaxation from Alexandria. Energies are from GGA-PBE.

a b c (Å): 4.682 3.003 4.677
angles (deg): 90.00 90.00 90.00
Element x y z (fractional)
Cd (0.500, 0.000, 0.500)
Hg (0.000, 0.000, 0.000)
Ir (0.500, 0.500, 0.000)

Properties
energy relative to the lowest polymorph listed for this composition = 0.000 eV/atom
calculated formation energy = 0.12 eV/atom
Fermi-level density of states = 0.42 states/eV per atom



18.
Here is Cd2HgIr after structural relaxation from Alexandria. Energies are from GGA-PBE.

a b c (Å): 4.864 4.864 3.247
angles (deg): 90.00 90.00 90.00
Element x y z (fractional)
Cd (0.500, 0.500, 0.000)
Ir (0.000, 0.500, 0.500)
Cd (0.000, 0.000, 0.000)
Hg (0.500, 0.000, 0.500)

Properties
energy relative to the lowest polymorph listed for this composition = 0.102 eV/atom
calculated formation energy = 0.23 eV/atom
Fermi-level density of states = 0.44 states/eV per atom



19.
Here is CdHgIr after structural relaxation from Alexandria. Energies are from GGA-PBE.

a b c (Å): 4.540 4.540 4.540
angles (deg): 60.00 60.00 60.00
Element x y z (fractional)
Ir (0.750, 0.750, 0.750)
Cd (0.000, 0.000, 0.000)
Hg (0.500, 0.500, 0.500)

Properties
energy relative to the lowest polymorph listed for this composition = 0.279 eV/atom
calculated formation energy = 0.40 eV/atom
Fermi-level density of states = 0.30 states/eV per atom



20.
Here is CdHgIr after structural relaxation from Alexandria. Energies are from GGA-PBE.

a b c (Å): 2.925 2.992 13.785
angles (deg): 90.00 95.79 90.00
Element x y z (fractional)
Cd (0.569, 0.500, 0.225)
Ir (0.296, 0.500, 0.691)
Hg (0.463, 0.000, 0.032)
Hg (0.163, 0.500, 0.417)
Ir (0.739, 0.000, 0.571)
Cd (0.866, 0.000, 0.839)

Properties
energy relative to the lowest polymorph listed for this composition = 0.074 eV/atom
calculated formation energy = 0.19 eV/atom
Fermi-level density of states = 0.89 states/eV per atom